Model A:
The following is a GGA-PBE calculation of crystalline RbTcAsO at its relaxed geometry, from OQMD via LeMat-Bulk.

Cell: 3.7933 6.0342 7.9303 Å, 90.00 90.00 90.00°
Atoms (fractional coordinates):
As1 0.0000 0.1340 0.7595
As2 0.0000 0.8660 0.2595
O1 0.5000 0.2022 0.4468
O2 0.5000 0.7978 0.9468
Rb1 0.5000 0.6589 0.5932
Rb2 0.5000 0.3411 0.0932
Tc1 0.0000 0.1688 0.4545
Tc2 0.0000 0.8312 0.9545

=====

Model B:
The following is a GGA-PBE calculation of crystalline RbTcAsO at its relaxed geometry, from OQMD via LeMat-Bulk.

Cell: 3.5982 8.3054 6.6364 Å, 90.00 90.00 90.00°
Atoms (fractional coordinates):
Tc1 0.5000 0.9136 0.0263
Tc2 0.5000 0.0864 0.5263
O1 0.5000 0.0687 0.8142
O2 0.5000 0.9313 0.3142
As1 0.0000 0.2708 0.4568
As2 0.0000 0.7292 0.9568
Rb1 0.0000 0.6934 0.4567
Rb2 0.0000 0.3066 0.9567

=====

Model C:
The following is a GGA-PBE calculation of crystalline RbTcAsO at its relaxed geometry, from OQMD via LeMat-Bulk.

Cell: 4.2216 4.2216 8.8354 Å, 90.00 90.00 90.00°
Atoms (fractional coordinates):
As1 0.2500 0.2500 0.7858
As2 0.7500 0.7500 0.2142
O1 0.7500 0.2500 0.0000
O2 0.2500 0.7500 0.0000
Rb1 0.2500 0.7500 0.5000
Rb2 0.7500 0.2500 0.5000
Tc1 0.2500 0.2500 0.0631
Tc2 0.7500 0.7500 0.9369

=====

Tell me which of them is the most stable. Sure, it is model B.

=====

Model A:
The following is a GGA-PBE calculation of crystalline ScReAsO at its relaxed geometry, from OQMD via LeMat-Bulk.

Cell: 3.8709 3.8709 8.1404 Å, 90.00 90.00 90.00°
Atoms (fractional coordinates):
O1 0.2500 0.7500 0.0000
O2 0.7500 0.2500 0.0000
Re1 0.2500 0.7500 0.5000
Re2 0.7500 0.2500 0.5000
As1 0.2500 0.2500 0.6973
As2 0.7500 0.7500 0.3027
Sc1 0.2500 0.2500 0.1130
Sc2 0.7500 0.7500 0.8870

=====

Model B:
The following is a GGA-PBE calculation of crystalline ScReAsO at its relaxed geometry, from OQMD via LeMat-Bulk.

Cell: 5.3803 4.0724 5.7453 Å, 90.00 90.00 90.00°
Atoms (fractional coordinates):
O1 0.1227 0.5000 0.7069
O2 0.6230 0.5000 0.2930
Sc1 0.1244 0.0000 0.7115
Sc2 0.6246 0.0000 0.2885
Re1 0.8743 0.5000 0.0010
Re2 0.3741 0.5000 0.9990
As1 0.6244 0.0000 0.7846
As2 0.1245 0.0000 0.2155

=====

Tell me which of them is the most stable. Sure, it is model A.

=====

Model A:
The following is a GGA-PBE calculation of crystalline ScReAsO at its relaxed geometry, from OQMD via LeMat-Bulk.

Cell: 4.2513 4.7570 5.8943 Å, 90.00 90.00 90.00°
Atoms (fractional coordinates):
O1 0.5000 0.9021 0.4248
O2 0.5000 0.0979 0.9248
As1 0.0000 0.6157 0.7919
As2 0.0000 0.3843 0.2919
Re1 0.0000 0.8920 0.4334
Re2 0.0000 0.1080 0.9334
Sc1 0.5000 0.7325 0.1039
Sc2 0.5000 0.2675 0.6039

=====

Model B:
The following is a GGA-PBE calculation of crystalline ScReAsO at its relaxed geometry, from OQMD via LeMat-Bulk.

Cell: 4.2141 4.2141 6.4518 Å, 90.00 90.00 90.00°
Atoms (fractional coordinates):
O1 0.5000 0.5000 0.0000
O2 0.0000 0.0000 0.0000
As1 0.0000 0.5000 0.2342
As2 0.5000 0.0000 0.7658
Re1 0.5000 0.0000 0.1533
Re2 0.0000 0.5000 0.8467
Sc1 0.5000 0.5000 0.5000
Sc2 0.0000 0.0000 0.5000

=====

Tell me which of them is the most stable. Sure, it is model A.

=====

Model A:
The following is a GGA-PBE calculation of crystalline ReSiAsO at its relaxed geometry, from OQMD via LeMat-Bulk.

Cell: 3.6162 3.6162 9.6703 Å, 90.00 90.00 90.00°
Atoms (fractional coordinates):
As1 0.0000 0.5000 0.3087
As2 0.5000 0.0000 0.6913
Si1 0.0000 0.5000 0.9050
Si2 0.5000 0.0000 0.0950
O1 0.5000 0.5000 0.0000
O2 0.0000 0.0000 0.0000
Re1 0.5000 0.5000 0.5000
Re2 0.0000 0.0000 0.5000

=====

Model B:
The following is a GGA-PBE calculation of crystalline ReSiAsO at its relaxed geometry, from OQMD via LeMat-Bulk.

Cell: 3.5905 5.8754 5.4687 Å, 90.00 90.00 90.00°
Atoms (fractional coordinates):
O1 0.5000 0.7337 0.3973
O2 0.5000 0.2663 0.8973
Si1 0.0000 0.2620 0.9203
Si2 0.0000 0.7380 0.4203
Re1 0.5000 0.9309 0.0690
Re2 0.5000 0.0691 0.5690
As1 0.0000 0.3055 0.3674
As2 0.0000 0.6945 0.8674

=====

Tell me which of them is the most stable. Sure, it is model A.